Compound: NaPuAg2Br8
Source: the Alexandria database
Functional: GGA-PBE
Structure: relaxed

Properties
The value obtained for the uncorrected formation energy is -803 meV per atom. The total energy comes out at -44.377 eV for the cell shown. As for the crystal system: tetragonal.

Lattice parameters (Å, degrees): 8.1123 8.1123 8.1123 108.84 108.84 110.75
With the nearest neighbours (Å) after each atom.
Fractional coordinates of all 12 atoms:
Br (0.9718, 0.2943, 0.3225)  1 Ag 2.64
Na (0.0000, 0.0000, 0.0000)  8 Br 3.06-3.35
Ag (0.7500, 0.2500, 0.5000)  4 Br 2.64
Br (0.5001, 0.7012, 0.7990)  1 Ag 2.65, 1 Pu 2.86
Br (0.3507, 0.0282, 0.3225)  1 Ag 2.64
Pu (0.2500, 0.7500, 0.5000)  8 Br 2.86-3.06
Br (0.7057, 0.0282, 0.6775)  1 Ag 2.64
Br (0.2988, 0.4999, 0.2010)  1 Ag 2.65, 1 Pu 2.86
Br (0.9022, 0.7012, 0.2010)  1 Ag 2.65, 1 Pu 2.86
Ag (0.5000, 0.5000, 0.0000)  4 Br 2.65
Br (0.9718, 0.6493, 0.6775)  1 Ag 2.64
Br (0.2988, 0.0978, 0.7990)  1 Ag 2.65, 1 Pu 2.86